DFT (PBE) results for TbEr5Tm6 after structural relaxation.

Values from the calculation:
Electronic total energy, eV/atom: -4.50

Cell and atoms, written as extended XYZ:
```
12
Lattice="-10.069 5.615 1.082 -1.577 -1.732 5.583 1.731 3.268 4.786" Properties=species:S:1:pos:R:3 pbc="T T T"
Tm -7.049 5.665 6.326
Tm -2.815 1.997 8.581
Tm -2.918 0.972 1.670
Tm -8.729 2.910 4.995
Tm -7.100 5.154 2.871
Tm -2.866 1.486 5.125
Er -5.771 2.454 6.789
Er 0.051 0.512 3.456
Er -4.144 4.697 4.662
Er 0.103 1.024 6.912
Er -5.823 1.941 3.333
Tb 0.000 0.000 0.000
```

=====

DFT (PBE) results for Tb3ErTm after structural relaxation.

Values from the calculation:
Electronic total energy, eV/atom: -4.58

Cell and atoms, written as extended XYZ:
```
10
Lattice="9.375 -0.339 -1.702 -0.714 6.476 -1.417 -1.081 -1.836 5.860" Properties=species:S:1:pos:R:3 pbc="T T T"
Tm 0.958 2.645 -0.217
Tm 6.337 4.247 2.392
Er 5.115 5.406 -0.788
Er 2.178 1.485 2.962
Tb 8.023 1.646 0.777
Tb -0.730 5.244 1.399
Tb 2.801 4.744 1.891
Tb 4.493 2.148 0.285
Tb 1.576 5.915 -1.283
Tb 5.718 0.976 3.457
```

=====

DFT (PBE) results for Tb4Er9Tm11 after structural relaxation.

Values from the calculation:
Electronic total energy, eV/atom: -4.48

Cell and atoms, written as extended XYZ:
```
24
Lattice="3.616 0.000 0.000 0.000 13.666 -5.805 0.000 0.032 14.848" Properties=species:S:1:pos:R:3 pbc="T T T"
Tm 0.000 9.725 6.420
Tm 0.000 5.026 7.284
Tm 0.000 0.000 0.000
Tm 0.000 13.083 3.261
Tm 0.000 8.140 10.748
Tm 0.000 8.673 1.759
Tm 0.000 0.616 5.782
Tm 0.000 11.490 -2.508
Tm 0.000 3.974 2.623
Tm 0.000 2.209 11.551
Tm 0.000 5.559 -1.706
Tb 1.808 6.103 1.040
Tb 1.808 7.596 8.003
Tb 1.808 3.355 5.203
Tb 1.808 10.344 3.840
Er 1.808 2.917 -0.230
Er 1.808 8.645 -1.242
Er 1.808 0.935 2.772
Er 1.808 11.443 0.605
Er 1.808 5.053 10.284
Er 1.808 6.849 4.521
Er 1.808 10.782 9.272
Er 1.808 2.256 8.438
Er 1.808 12.763 6.271
```

=====

DFT (PBE) results for TbErTm after structural relaxation.

Values from the calculation:
Electronic total energy, eV/atom: -4.52

Cell and atoms, written as extended XYZ:
```
6
Lattice="3.482 0.263 0.199 1.290 6.562 -0.507 1.108 2.524 8.095" Properties=species:S:1:pos:R:3 pbc="T T T"
Er 2.180 4.862 2.838
Er 2.441 1.439 2.788
Tb 0.724 3.007 0.014
Tb 3.897 3.294 5.612
Tm 3.654 6.712 5.350
Tm 2.257 6.151 -0.230
```

=====

DFT (PBE) results for Tb5Er5Tm after structural relaxation.

Values from the calculation:
Electronic total energy, eV/atom: -4.43

Cell and atoms, written as extended XYZ:
```
11
Lattice="6.632 -0.005 1.840 -4.205 7.834 -2.941 2.865 0.291 7.513" Properties=species:S:1:pos:R:3 pbc="T T T"
Tb 4.169 5.303 4.546
Tb 3.316 -0.003 0.920
Tb 3.392 5.065 0.843
Tb 1.901 3.054 5.569
Tb 1.123 2.816 1.866
Er 0.977 5.849 3.337
Er 4.315 2.270 3.074
Er 1.433 0.145 3.756
Er 5.338 2.630 6.237
Er -0.045 5.489 0.175
Tm 0.000 0.000 0.000
```

=====

DFT (PBE) results for Tb7Er2Tm2 after structural relaxation.

Values from the calculation:
Electronic total energy, eV/atom: -4.43

Cell and atoms, written as extended XYZ:
```
11
Lattice="-0.564 -5.765 -1.513 -3.857 2.194 10.260 -7.051 2.163 2.976" Properties=species:S:1:pos:R:3 pbc="T T T"
Tm -1.716 -0.238 3.964
Tm -2.705 -3.333 4.784
Tb -3.194 -0.676 7.263
Tb -4.441 -3.475 0.922
Tb -6.034 -2.448 6.193
Tb 0.000 0.000 0.000
Tb -1.227 -2.895 1.484
Tb -7.031 2.067 10.801
Tb -5.438 1.040 5.530
Er -5.105 -1.183 3.157
Er -6.367 -0.225 8.567
```

=====

DFT (PBE) results for TbEr4Tm7 after structural relaxation.

Values from the calculation:
Electronic total energy, eV/atom: -4.42

Cell and atoms, written as extended XYZ:
```
12
Lattice="6.554 1.288 0.532 4.283 7.093 2.053 -1.388 -0.570 8.747" Properties=species:S:1:pos:R:3 pbc="T T T"
Tm 4.567 5.788 7.185
Tm 6.881 3.148 6.797
Tm 3.277 0.644 0.266
Tm 2.568 4.662 4.535
Tm 4.881 2.022 4.146
Tm 5.699 4.066 9.762
Tm 3.750 3.744 1.569
Er 7.741 6.542 8.153
Er 3.473 2.728 7.207
Er 1.708 1.269 3.178
Er 5.975 5.083 4.124
Tb 0.000 0.000 0.000
```

=====

DFT (PBE) results for Tb3Er2Tm5 after structural relaxation.

Values from the calculation:
Electronic total energy, eV/atom: -4.18

Cell and atoms, written as extended XYZ:
```
20
Lattice="6.177 0.000 0.000 3.088 10.120 -2.840 3.088 -0.052 10.510" Properties=species:S:1:pos:R:3 pbc="T T T"
Er 6.177 0.525 7.653
Er 9.265 2.549 9.195
Er 3.088 7.518 -1.525
Er 6.177 9.542 0.018
Tm 6.177 2.461 5.165
Tm 9.265 4.434 6.668
Tm 7.721 5.034 3.835
Tm 4.633 2.532 1.929
Tm 6.177 7.606 2.506
Tm 4.633 5.034 3.835
Tm 7.721 7.535 5.741
Tm 3.088 5.633 1.003
Tm 7.721 2.532 1.929
Tm 4.633 7.535 5.741
Tb 4.633 0.000 0.000
Tb 9.265 9.193 1.701
Tb 6.177 4.080 8.412
Tb 1.544 0.000 0.000
Tb 3.088 0.874 5.969
Tb 6.177 5.987 -0.742
```

=====

DFT (PBE) results for Tb3Er4Tm4 after structural relaxation.

Values from the calculation:
Electronic total energy, eV/atom: -4.37

Cell and atoms, written as extended XYZ:
```
11
Lattice="-2.157 2.735 -0.237 -8.669 -6.716 1.373 5.917 3.166 8.367" Properties=species:S:1:pos:R:3 pbc="T T T"
Tb -5.019 -1.070 7.552
Tb 0.111 0.255 1.952
Tb -4.334 -3.358 0.687
Er -7.952 -3.958 0.970
Er -0.795 2.026 4.893
Er -2.873 -0.023 0.166
Er -4.114 -2.841 4.611
Tm -1.767 -0.854 6.211
Tm -3.141 0.039 3.293
Tm 2.432 2.399 5.545
Tm -7.340 -3.214 3.958
```

=====

DFT (PBE) results for Tb8Er2Tm after structural relaxation.

Values from the calculation:
Electronic total energy, eV/atom: -4.43

Cell and atoms, written as extended XYZ:
```
11
Lattice="-1.947 0.182 -6.303 -4.446 -8.043 -4.210 -9.074 -3.580 -2.651" Properties=species:S:1:pos:R:3 pbc="T T T"
Tb -10.559 -8.755 -6.284
Tb -5.979 -5.714 -8.068
Tb -6.065 -4.706 -4.530
Tb -7.288 -7.850 -5.837
Tb -4.908 -2.687 -6.880
Tb -8.180 -3.591 -7.327
Tb -9.489 -5.728 -5.096
Tb -9.403 -6.735 -8.634
Er -3.482 -2.246 -3.909
Er -11.985 -9.195 -9.255
Tm 0.000 0.000 0.000
```